Entry 1:
## Cd2Ni (GGA-PBE)

Data for crystalline Cd2Ni at its relaxed geometry.

Geometry as POSCAR:
```
Cd2Ni
1.0
5.330 0.283 5.185
-6.925 0.334 -2.704
-0.539 -4.636 0.807
Cd Ni
4 2
direct
0.445 0.555 0.750
0.770 0.230 0.750
0.555 0.445 0.250
0.230 0.770 0.250
0.109 0.891 0.750
0.891 0.109 0.250
```

## Properties
Its energy relative to the elements is 99 meV/atom. The crystal system is orthorhombic. The calculation puts the size of the total moment at 0.00 Bohr magnetons per cell.

Entry 2:
## Cd2Ni3 (GGA-PBE)

Data for crystalline Cd2Ni3 at its relaxed geometry.

Geometry as POSCAR:
```
Cd2Ni3
1.0
10.694 -1.413 -0.003
10.694 1.413 -0.003
10.508 0.000 2.437
Cd Ni
2 3
direct
0.402 0.402 0.402
0.598 0.598 0.598
0.195 0.195 0.195
0.000 0.000 0.000
0.805 0.805 0.805
```

## Properties
Its energy relative to the elements is 227 meV/atom. The crystal system is trigonal. The calculation puts the size of the total moment at 1.33 Bohr magnetons per cell.

Entry 3:
## Cd4Ni3 (GGA-PBE)

Data for crystalline Cd4Ni3 at its relaxed geometry.

Geometry as POSCAR:
```
Cd4Ni3
1.0
2.516 -4.358 0.000
2.516 4.358 0.000
0.000 0.000 5.279
Ni Cd
3 4
direct
0.500 0.500 0.000
0.500 0.000 0.000
0.000 0.500 0.000
0.000 0.000 0.752
0.667 0.333 0.500
0.000 0.000 0.248
0.333 0.667 0.500
```

## Properties
Its energy relative to the elements is 135 meV/atom. The crystal system is hexagonal. The calculation puts the size of the total moment at 0.00 Bohr magnetons per cell.

Entry 4:
## Cd5Ni (GGA-PBE)

Data for crystalline Cd5Ni at its relaxed geometry.

Geometry as POSCAR:
```
Cd5Ni
1.0
-1.004 4.663 2.809
-1.367 -0.356 -5.352
-4.570 -1.757 1.284
Cd Ni
5 1
direct
0.000 0.500 0.500
0.333 0.667 0.000
0.500 0.000 0.500
0.667 0.333 0.000
0.500 0.500 0.500
0.000 0.000 0.000
```

## Properties
Its energy relative to the elements is 410 meV/atom. The crystal system is hexagonal. The calculation puts the size of the total moment at 0.00 Bohr magnetons per cell.

Entry 5:
## Cd5Ni (GGA-PBE)

Data for crystalline Cd5Ni at its relaxed geometry.

Geometry as POSCAR:
```
Cd5Ni
1.0
-4.428 0.216 3.458
-3.280 4.566 0.086
-5.213 -0.244 -2.090
Cd Ni
5 1
direct
0.876 0.375 0.375
0.750 0.750 0.750
0.375 0.375 0.375
0.375 0.876 0.375
0.375 0.375 0.876
0.000 0.000 0.000
```

## Properties
Its energy relative to the elements is 315 meV/atom. The crystal system is cubic. The calculation puts the size of the total moment at 0.00 Bohr magnetons per cell.

Entry 6:
## CdNi5 (GGA-PBE)

Data for crystalline CdNi5 at its relaxed geometry.

Geometry as POSCAR:
```
CdNi5
1.0
2.691 0.000 0.000
0.000 2.691 0.000
0.000 0.000 10.246
Ni Cd
5 1
direct
0.500 0.500 0.152
0.000 0.000 0.000
0.000 0.000 0.697
0.500 0.500 0.848
0.000 0.000 0.303
0.500 0.500 0.500
```

## Properties
Its energy relative to the elements is 105 meV/atom. The crystal system is tetragonal. The calculation puts the size of the total moment at 2.57 Bohr magnetons per cell.

Entry 7:
## Cd3Ni5 (GGA-PBE)

Data for crystalline Cd3Ni5 at its relaxed geometry.

Geometry as POSCAR:
```
Cd3Ni5
1.0
3.574 -4.000 0.000
3.574 4.000 0.000
0.000 0.000 3.968
Cd Ni
3 5
direct
0.238 0.762 0.500
0.500 0.500 0.000
0.762 0.238 0.500
0.245 0.245 0.500
0.000 0.000 0.000
0.755 0.755 0.500
0.500 0.000 0.000
0.000 0.500 0.000
```

## Properties
Its energy relative to the elements is 130 meV/atom. The crystal system is orthorhombic. The calculation puts the size of the total moment at 0.55 Bohr magnetons per cell.

Entry 8:
## CdNi2 (GGA-PBE)

Data for crystalline CdNi2 at its relaxed geometry.

Geometry as POSCAR:
```
CdNi2
1.0
-2.891 2.891 2.732
2.891 -2.891 2.732
2.891 2.891 -2.732
Ni Cd
4 2
direct
0.360 0.140 0.500
0.640 0.860 0.500
0.140 0.640 0.779
0.860 0.360 0.221
0.250 0.250 0.000
0.750 0.750 0.000
```

## Properties
Its energy relative to the elements is 517 meV/atom. The crystal system is tetragonal. The calculation puts the size of the total moment at 0.57 Bohr magnetons per cell.

Entry 9:
## Cd3Ni2 (GGA-PBE)

Data for crystalline Cd3Ni2 at its relaxed geometry.

Geometry as POSCAR:
```
Cd3Ni2
1.0
-3.458 3.762 -10.175
-6.107 2.913 -9.157
-5.068 5.611 -8.513
Ni Cd
2 3
direct
0.604 0.604 0.604
0.396 0.396 0.396
0.792 0.792 0.792
0.000 0.000 0.000
0.208 0.208 0.208
```

## Properties
Its energy relative to the elements is 171 meV/atom. The crystal system is trigonal. The calculation puts the size of the total moment at 0.63 Bohr magnetons per cell.

Entry 10:
## Cd7Ni (GGA-PBE)

Data for crystalline Cd7Ni at its relaxed geometry.

Geometry as POSCAR:
```
Cd7Ni
1.0
-2.142 3.044 -4.861
-5.690 2.260 0.067
-0.888 6.049 0.324
Cd Ni
7 1
direct
0.500 0.000 0.500
0.500 0.500 0.500
0.000 0.000 0.500
0.000 0.500 0.000
0.500 0.500 0.000
0.500 0.000 0.000
0.000 0.500 0.500
0.000 0.000 0.000
```

## Properties
Its energy relative to the elements is 90 meV/atom. The crystal system is cubic. The calculation puts the size of the total moment at 0.00 Bohr magnetons per cell.

Entry 11:
## CdNi5 (GGA-PBE)

Data for crystalline CdNi5 at its relaxed geometry.

Geometry as POSCAR:
```
CdNi5
1.0
-3.750 3.297 -4.854
1.998 -2.054 6.347
2.551 3.284 0.260
Ni Cd
5 1
direct
0.325 0.675 0.000
0.876 0.124 0.500
0.222 0.778 0.500
0.570 0.430 0.500
0.675 0.325 0.000
0.998 0.002 0.000
```

## Properties
Its energy relative to the elements is 138 meV/atom. The crystal system is orthorhombic. The calculation puts the size of the total moment at 2.29 Bohr magnetons per cell.

Entry 12:
## CdNi2 (GGA-PBE)

Data for crystalline CdNi2 at its relaxed geometry.

Geometry as POSCAR:
```
CdNi2
1.0
1.368 4.852 -0.268
-1.368 4.852 -0.268
0.000 1.084 6.410
Ni Cd
4 2
direct
0.310 0.310 0.884
0.568 0.568 0.345
0.671 0.671 0.668
0.945 0.945 0.618
0.037 0.037 0.998
0.302 0.302 0.320
```

## Properties
Its energy relative to the elements is 175 meV/atom. The crystal system is monoclinic. The calculation puts the size of the total moment at 1.45 Bohr magnetons per cell.

Entry 13:
## Cd3Ni2 (GGA-PBE)

Data for crystalline Cd3Ni2 at its relaxed geometry.

Geometry as POSCAR:
```
Cd3Ni2
1.0
0.000 4.776 6.721
2.602 0.000 6.721
2.602 4.776 0.000
Ni Cd
4 6
direct
0.896 0.196 0.556
0.054 0.354 0.898
0.694 0.898 0.354
0.352 0.556 0.196
0.822 0.888 0.777
0.917 0.083 0.083
0.473 0.736 0.428
0.167 0.333 0.333
0.514 0.777 0.888
0.362 0.428 0.736
```

## Properties
Its energy relative to the elements is 127 meV/atom. The crystal system is orthorhombic. The calculation puts the size of the total moment at 0.00 Bohr magnetons per cell.

Entry 14:
## CdNi2 (GGA-PBE)

Data for crystalline CdNi2 at its relaxed geometry.

Geometry as POSCAR:
```
CdNi2
1.0
-3.959 0.603 6.217
-2.668 -3.848 -5.723
1.150 -2.205 0.946
Ni Cd
6 3
direct
0.000 0.310 0.000
0.690 0.690 0.000
0.643 0.000 0.500
0.000 0.643 0.500
0.357 0.357 0.500
0.310 0.000 0.000
0.667 0.333 0.000
0.333 0.667 0.000
0.000 0.000 0.500
```

## Properties
Its energy relative to the elements is 240 meV/atom. The crystal system is hexagonal. The calculation puts the size of the total moment at 0.00 Bohr magnetons per cell.

Entry 15:
## Cd3Ni5 (GGA-PBE)

Data for crystalline Cd3Ni5 at its relaxed geometry.

Geometry as POSCAR:
```
Cd3Ni5
1.0
-0.568 -7.296 0.873
5.028 5.213 -1.364
-1.139 1.769 7.042
Cd Ni
6 10
direct
0.250 0.250 0.000
0.750 0.750 0.000
0.182 0.683 0.867
0.816 0.316 0.133
0.316 0.184 0.500
0.683 0.817 0.500
0.936 0.741 0.677
0.563 0.240 0.803
0.436 0.759 0.196
0.259 0.936 0.197
0.063 0.260 0.323
0.240 0.437 0.677
0.749 0.250 0.500
0.250 0.750 0.500
0.759 0.564 0.323
0.740 0.063 0.804
```

## Properties
Its energy relative to the elements is 261 meV/atom. The crystal system is orthorhombic. The calculation puts the size of the total moment at 0.36 Bohr magnetons per cell.

Entry 16:
## Cd2Ni (GGA-PBE)

Data for crystalline Cd2Ni at its relaxed geometry.

Geometry as POSCAR:
```
Cd2Ni
1.0
6.216 0.000 0.000
0.000 6.216 0.000
0.000 0.000 6.216
Ni Cd
4 8
direct
0.000 0.000 0.000
0.500 0.500 0.000
0.000 0.500 0.500
0.500 0.000 0.500
0.250 0.750 0.750
0.250 0.250 0.250
0.250 0.750 0.250
0.750 0.250 0.250
0.750 0.750 0.750
0.750 0.750 0.250
0.750 0.250 0.750
0.250 0.250 0.750
```

## Properties
Its energy relative to the elements is 131 meV/atom. The crystal system is cubic. The calculation puts the size of the total moment at 0.00 Bohr magnetons per cell.

Entry 17:
## CdNi2 (GGA-PBE)

Data for crystalline CdNi2 at its relaxed geometry.

Geometry as POSCAR:
```
CdNi2
1.0
2.767 0.000 0.000
-1.384 2.396 0.000
0.000 0.000 6.381
Cd Ni
1 2
direct
0.000 0.000 0.000
0.667 0.333 0.356
0.333 0.667 0.644
```

## Properties
Its energy relative to the elements is 237 meV/atom. The crystal system is trigonal. The calculation puts the size of the total moment at 0.96 Bohr magnetons per cell.

Entry 18:
## Cd5Ni (GGA-PBE)

Data for crystalline Cd5Ni at its relaxed geometry.

Geometry as POSCAR:
```
Cd5Ni
1.0
4.358 0.000 0.000
2.179 6.420 0.000
0.000 0.000 4.203
Cd Ni
5 1
direct
0.368 0.265 0.000
0.184 0.632 0.500
0.528 0.945 0.500
0.872 0.257 0.500
0.688 0.624 0.000
0.028 0.944 0.000
```

## Properties
Its energy relative to the elements is 70 meV/atom. The crystal system is orthorhombic. The calculation puts the size of the total moment at 0.00 Bohr magnetons per cell.

Entry 19:
## Cd5Ni (GGA-PBE)

Data for crystalline Cd5Ni at its relaxed geometry.

Geometry as POSCAR:
```
Cd5Ni
1.0
11.999 0.000 0.000
0.000 3.161 0.000
0.000 0.000 3.161
Cd Ni
5 1
direct
0.703 0.000 0.000
0.516 0.500 0.500
0.333 0.000 0.000
0.151 0.500 0.500
0.964 0.000 0.000
0.833 0.500 0.500
```

## Properties
Its energy relative to the elements is 46 meV/atom. The crystal system is tetragonal. The calculation puts the size of the total moment at 0.00 Bohr magnetons per cell.

Entry 20:
## CdNi2 (GGA-PBE)

Data for crystalline CdNi2 at its relaxed geometry.

Geometry as POSCAR:
```
CdNi2
1.0
3.328 0.000 0.000
0.000 3.328 0.000
0.000 0.000 4.316
Ni Cd
2 1
direct
0.500 0.000 0.500
0.000 0.500 0.500
0.000 0.000 0.000
```

## Properties
Its energy relative to the elements is 324 meV/atom. The crystal system is tetragonal. The calculation puts the size of the total moment at 0.59 Bohr magnetons per cell.